[1]
Er3Mg2 after structural relaxation, computed with PBE.

The structure in POSCAR format:
```
Er3Mg2
1.0
8.613 0.000 0.000
0.000 8.613 0.000
0.000 0.000 7.695
Er Mg
12 8
direct
0.000 0.500 0.250
0.000 0.500 0.750
0.145 0.145 0.000
0.201 0.201 0.500
0.299 0.701 0.000
0.355 0.645 0.500
0.500 0.000 0.250
0.500 0.000 0.750
0.645 0.355 0.500
0.701 0.299 0.000
0.799 0.799 0.500
0.855 0.855 0.000
0.125 0.875 0.306
0.125 0.875 0.694
0.375 0.375 0.194
0.375 0.375 0.806
0.625 0.625 0.194
0.625 0.625 0.806
0.875 0.125 0.306
0.875 0.125 0.694
```

Energy of formation from the pure elements ... 0.067 eV/atom
Magnetization ... 0.081 μB/cell


[2]
Er5Mg after structural relaxation, computed with PBE.

The structure in POSCAR format:
```
Er5Mg
1.0
3.036 1.753 5.524
-3.036 1.753 5.524
0.000 -3.506 5.524
Er Mg
5 1
direct
0.000 0.662 0.338
0.168 0.168 0.168
0.338 0.000 0.662
0.662 0.338 0.000
0.832 0.832 0.832
0.500 0.500 0.500
```

Energy of formation from the pure elements ... 0.015 eV/atom
Magnetization ... 0.000 μB/cell


[3]
Er13Mg3 after structural relaxation, computed with PBE.

The structure in POSCAR format:
```
Er13Mg3
1.0
7.055 0.000 0.000
0.000 5.567 5.999
0.000 -5.567 5.999
Er Mg
13 3
direct
0.000 0.000 0.000
0.000 0.413 0.905
0.000 0.478 0.478
0.000 0.905 0.413
0.251 0.151 0.663
0.251 0.663 0.151
0.252 0.736 0.736
0.500 0.403 0.904
0.500 0.483 0.483
0.500 0.904 0.403
0.748 0.736 0.736
0.749 0.151 0.663
0.749 0.663 0.151
0.257 0.238 0.238
0.500 0.988 0.988
0.743 0.238 0.238
```

Energy of formation from the pure elements ... 0.007 eV/atom
Magnetization ... 0.000 μB/cell


[4]
Er13Mg2 after structural relaxation, computed with PBE.

The structure in POSCAR format:
```
Er13Mg2
1.0
6.635 0.000 0.000
1.146 8.389 0.000
1.690 3.403 8.014
Er Mg
13 2
direct
0.000 0.000 0.000
0.123 0.479 0.747
0.196 0.229 0.154
0.250 0.943 0.574
0.310 0.662 0.971
0.374 0.409 0.390
0.486 0.139 0.797
0.514 0.861 0.203
0.626 0.591 0.610
0.690 0.338 0.029
0.750 0.057 0.426
0.804 0.771 0.846
0.877 0.521 0.253
0.062 0.755 0.383
0.938 0.245 0.617
```

Energy of formation from the pure elements ... 0.033 eV/atom
Magnetization ... 0.009 μB/cell


[5]
Er3Mg5 after structural relaxation, computed with PBE.

The structure in POSCAR format:
```
Er3Mg5
1.0
3.819 -5.240 0.000
3.819 5.240 0.000
0.000 0.000 5.167
Er Mg
3 5
direct
0.000 0.000 0.000
0.255 0.745 0.500
0.745 0.255 0.500
0.000 0.500 0.000
0.255 0.255 0.500
0.500 0.000 0.000
0.500 0.500 0.000
0.745 0.745 0.500
```

Energy of formation from the pure elements ... -0.054 eV/atom
Magnetization ... 0.000 μB/cell


[6]
Er3Mg after structural relaxation, computed with PBE.

The structure in POSCAR format:
```
Er3Mg
1.0
4.865 0.000 0.000
0.000 4.865 0.000
0.000 0.000 4.865
Er Mg
3 1
direct
0.000 0.000 0.500
0.000 0.500 0.000
0.500 0.000 0.000
0.500 0.500 0.500
```

Energy of formation from the pure elements ... 0.034 eV/atom
Magnetization ... 0.003 μB/cell


[7]
Er3Mg4 after structural relaxation, computed with PBE.

The structure in POSCAR format:
```
Er3Mg4
1.0
-1.876 1.876 13.040
1.876 -1.876 13.040
1.876 1.876 -13.040
Er Mg
3 4
direct
0.000 0.000 0.000
0.142 0.142 0.000
0.858 0.858 0.000
0.281 0.281 0.000
0.429 0.429 0.000
0.571 0.571 0.000
0.719 0.719 0.000
```

Energy of formation from the pure elements ... -0.052 eV/atom
Magnetization ... 0.000 μB/cell


[8]
Er2Mg3 after structural relaxation, computed with PBE.

The structure in POSCAR format:
```
Er2Mg3
1.0
3.728 0.000 0.000
0.000 3.728 0.000
0.000 0.000 18.625
Er Mg
4 6
direct
0.000 0.000 0.102
0.000 0.000 0.302
0.000 0.000 0.698
0.000 0.000 0.898
0.000 0.000 0.500
0.500 0.500 0.000
0.500 0.500 0.202
0.500 0.500 0.409
0.500 0.500 0.591
0.500 0.500 0.798
```

Energy of formation from the pure elements ... -0.057 eV/atom
Magnetization ... 0.000 μB/cell


- Which of these has the highest energy of formation from the pure elements?
  Er3Mg2